DFT (SCAN) results for a PBEsol-optimized structure of Mn2TcW.

Properties
D(E_F): 0.771 states/eV per atom
Energy above the most stable polymorph in this dataset: 4.94 kJ per mole of atoms
Space-group type: No. 10
ΔH_f (0 K): 0.04 eV per atom

abc: 2.612 4.030 5.092
angles: 90.00 102.70 90.00
Each line ends with the local moment (μB).
Sites, in units of the cell vectors:
Mn: 0.760 0.000 0.754  2.36
Mn: 0.240 0.000 0.246  2.36
W: 0.000 0.500 0.500  -0.41
Tc: 0.500 0.500 0.000  -0.34

---

DFT (SCAN) results for a PBEsol-optimized structure of Mn4TcW.

Properties
D(E_F): 0.691 states/eV per atom
Space-group type: No. 216
ΔH_f (0 K): 0.02 eV per atom

abc: 4.637 4.637 4.637
angles: 60.00 60.00 60.00
Sites, in units of the cell vectors:
Mn: 0.375 0.375 0.876
Mn: 0.375 0.876 0.375
Mn: 0.876 0.375 0.375
Mn: 0.375 0.375 0.375
W: 0.000 0.000 0.000
Tc: 0.750 0.750 0.750

---

DFT (SCAN) results for a PBEsol-optimized structure of Mn2TcW.

Properties
D(E_F): 0.770 states/eV per atom
Energy above the most stable polymorph in this dataset: 4.58 kJ per mole of atoms
Space-group type: No. 12
ΔH_f (0 K): 0.03 eV per atom

abc: 2.612 4.798 4.798
angles: 114.61 98.96 98.96
Each line ends with the local moment (μB).
Sites, in units of the cell vectors:
Tc: 0.500 0.000 0.000  -0.32
Mn: 0.000 0.000 0.500  2.37
Mn: 0.000 0.500 0.000  2.37
W: 0.500 0.500 0.500  -0.42